Here is crystalline LiHfGa6 at its relaxed geometry from Alexandria via LeMat-Bulk. Energies are from PBE-GGA.

Cell lengths 8.2387, 8.2493, 3.9813 Å; angles 90.00, 90.00, 90.00 degrees
Space group Cmmm (No. 65)
One atom of each set of equivalent atoms:
Li 0.0000 0.0000 0.0000 x2
Hf 0.0000 0.5000 0.0000 x2
Ga 0.0000 0.2417 0.5000 x4
Ga 0.2418 0.0000 0.5000 x4
Ga 0.2500 0.2500 0.0000 x4

Calculated values
Total magnetic moment (μB per atom): 0.00
DFT formation energy (meV per atom): -278
Density of states at the Fermi level (states/eV/atom): 0.45

---

Here is crystalline LiHfGa3 at its relaxed geometry from Alexandria via LeMat-Bulk. Energies are from PBE-GGA.

Cell lengths 3.2224, 26.1929, 4.2620 Å; angles 90.00, 90.00, 90.00 degrees
Space group Cmcm (No. 63)
One atom of each set of equivalent atoms:
Li 0.0000 0.0768 0.2500 x4
Hf 0.0000 0.2155 0.7500 x4
Ga 0.0000 0.3240 0.7500 x4
Ga 0.0000 0.3807 0.2500 x4
Ga 0.0000 0.4758 0.2500 x4

Calculated values
Energy relative to the lowest polymorph listed for this composition (eV/atom): 0.000
Total magnetic moment (μB per atom): 0.00
DFT formation energy (meV per atom): -300
Density of states at the Fermi level (states/eV/atom): 0.42

---

Here is crystalline LiHfGa at its relaxed geometry from Alexandria via LeMat-Bulk. Energies are from PBE-GGA.

Cell lengths 3.0702, 3.0702, 11.0962 Å; angles 90.00, 90.00, 90.00 degrees
Space group I4mm (No. 107)
One atom of each set of equivalent atoms:
Li 0.0000 0.0000 0.0000 x2
Hf 0.0000 0.0000 0.3041 x2
Ga 0.0000 0.0000 0.6326 x2

Calculated values
Energy relative to the lowest polymorph listed for this composition (eV/atom): 0.181
Total magnetic moment (μB per atom): 0.00
DFT formation energy (meV per atom): -127
Density of states at the Fermi level (states/eV/atom): 0.77

---

Here is crystalline LiHf2Ga3 at its relaxed geometry from Alexandria via LeMat-Bulk. Energies are from PBE-GGA.

Cell lengths 14.6990, 5.6014, 5.4164 Å; angles 90.00, 103.89, 90.00 degrees
Space group C2/c (No. 15)
One atom of each set of equivalent atoms:
Li 0.0000 0.0851 0.2500 x4
Hf 0.1727 0.3715 0.5991 x8
Ga 0.0000 0.4319 0.7500 x4
Ga 0.1540 0.1241 0.0541 x8

Calculated values
Energy relative to the lowest polymorph listed for this composition (eV/atom): 0.093
Total magnetic moment (μB per atom): 0.00
DFT formation energy (meV per atom): -288
Density of states at the Fermi level (states/eV/atom): 0.62

---

Here is crystalline LiHf2Ga3 at its relaxed geometry from Alexandria via LeMat-Bulk. Energies are from PBE-GGA.

Cell lengths 6.3227, 8.6368, 14.9468 Å; angles 90.00, 90.00, 90.00 degrees
Space group Fmmm (No. 69)
One atom of each set of equivalent atoms:
Li 0.0000 0.0000 0.1670 x8
Hf 0.2471 0.0000 0.5000 x8
Hf 0.2500 0.2500 0.2500 x8
Ga 0.0000 0.0000 0.3300 x8
Ga 0.0000 0.2439 0.0852 x16

Calculated values
Energy relative to the lowest polymorph listed for this composition (eV/atom): 0.000
Total magnetic moment (μB per atom): 0.00
DFT formation energy (meV per atom): -380
Density of states at the Fermi level (states/eV/atom): 0.33

---

Here is crystalline LiHfGa3 at its relaxed geometry from Alexandria via LeMat-Bulk. Energies are from PBE-GGA.

Cell lengths 4.4346, 4.4346, 4.4346 Å; angles 90.00, 90.00, 90.00 degrees
Space group Pm-3m (No. 221)
One atom of each set of equivalent atoms:
Li 0.0000 0.0000 0.0000 x1
Hf 0.5000 0.5000 0.5000 x1
Ga 0.0000 0.0000 0.5000 x3

Calculated values
Energy relative to the lowest polymorph listed for this composition (eV/atom): 0.515
Total magnetic moment (μB per atom): 0.00
DFT formation energy (meV per atom): 215
Density of states at the Fermi level (states/eV/atom): 0.40

---

Here is crystalline LiHfGa3 at its relaxed geometry from Alexandria via LeMat-Bulk. Energies are from PBE-GGA.

Cell lengths 5.2228, 5.2228, 5.2228 Å; angles 90.00, 90.00, 90.00 degrees
Space group Pm-3m (No. 221)
One atom of each set of equivalent atoms:
Li 0.0000 0.0000 0.0000 x1
Hf 0.5000 0.5000 0.5000 x1
Ga 0.0000 0.5000 0.5000 x3

Calculated values
Energy relative to the lowest polymorph listed for this composition (eV/atom): 0.714
Total magnetic moment (μB per atom): 0.00
DFT formation energy (meV per atom): 414
Density of states at the Fermi level (states/eV/atom): 0.70

---

Here is crystalline LiHfGa4 at its relaxed geometry from Alexandria via LeMat-Bulk. Energies are from PBE-GGA.

Cell lengths 3.1147, 4.3014, 7.7328 Å; angles 90.00, 90.12, 90.00 degrees
Space group P2/m (No. 10)
One atom of each set of equivalent atoms:
Li 0.0000 0.0000 0.0000 x1
Hf 0.0000 0.5000 0.5000 x1
Ga 0.4940 0.5000 0.8369 x2
Ga 0.4957 0.0000 0.3327 x2

Calculated values
Total magnetic moment (μB per atom): 0.00
DFT formation energy (meV per atom): -282
Density of states at the Fermi level (states/eV/atom): 0.25

---

Here is crystalline LiHf2Ga6 at its relaxed geometry from Alexandria via LeMat-Bulk. Energies are from PBE-GGA.

Cell lengths 13.2756, 7.5869, 3.0895 Å; angles 90.00, 90.08, 90.00 degrees
Space group C2/m (No. 12)
One atom of each set of equivalent atoms:
Li 0.0000 0.0000 0.0000 x2
Hf 0.1692 0.5000 0.0001 x4
Ga 0.0000 0.3317 0.5000 x4
Ga 0.1650 0.1664 0.4960 x8

Calculated values
Total magnetic moment (μB per atom): 0.00
DFT formation energy (meV per atom): -284
Density of states at the Fermi level (states/eV/atom): 0.34

---

Here is crystalline LiHfGa at its relaxed geometry from Alexandria via LeMat-Bulk. Energies are from PBE-GGA.

Cell lengths 4.7341, 14.9772, 3.1867 Å; angles 90.00, 90.00, 90.00 degrees
Space group Cmcm (No. 63)
One atom of each set of equivalent atoms:
Li 0.0000 0.2255 0.2500 x4
Hf 0.0000 0.4184 0.7500 x4
Ga 0.0000 0.0751 0.7500 x4

Calculated values
Energy relative to the lowest polymorph listed for this composition (eV/atom): 0.122
Total magnetic moment (μB per atom): 0.00
DFT formation energy (meV per atom): -185
Density of states at the Fermi level (states/eV/atom): 0.51

---

Here is crystalline LiHfGa at its relaxed geometry from Alexandria via LeMat-Bulk. Energies are from PBE-GGA.

Cell lengths 4.5326, 4.5326, 5.9225 Å; angles 90.00, 90.00, 120.00 degrees
Space group P3m1 (No. 156)
One atom of each set of equivalent atoms:
Li 0.0000 0.0000 0.0000 x1
Li 0.3333 0.6667 0.1564 x1
Hf 0.0000 0.0000 0.4807 x1
Hf 0.6667 0.3333 0.8010 x1
Ga 0.3333 0.6667 0.6797 x1
Ga 0.6667 0.3333 0.2748 x1

Calculated values
Energy relative to the lowest polymorph listed for this composition (eV/atom): 0.090
Total magnetic moment (μB per atom): 0.00
DFT formation energy (meV per atom): -218
Density of states at the Fermi level (states/eV/atom): 0.56

---

Here is crystalline LiHfGa at its relaxed geometry from Alexandria via LeMat-Bulk. Energies are from PBE-GGA.

Cell lengths 3.7311, 13.9995, 4.1937 Å; angles 90.00, 90.00, 90.00 degrees
Space group Cmmm (No. 65)
One atom of each set of equivalent atoms:
Li 0.0000 0.0000 0.0000 x2
Li 0.0000 0.5000 0.5000 x2
Hf 0.0000 0.1671 0.5000 x4
Ga 0.0000 0.3312 0.0000 x4

Calculated values
Energy relative to the lowest polymorph listed for this composition (eV/atom): 0.110
Total magnetic moment (μB per atom): 0.00
DFT formation energy (meV per atom): -198
Density of states at the Fermi level (states/eV/atom): 0.61